The following is a DFT calculation (PBE) of crystalline Th2Al3Ir4 at its relaxed geometry. Values from VASP.

Computed properties:
* electronic total energy: -7.7815 eV per atom

Quantum ESPRESSO input file:
```
&SYSTEM
  ibrav = 0, nat = 18, ntyp = 3
/
ATOMIC_SPECIES
Th 232.04 Th.upf
Al 26.98 Al.upf
Ir 192.22 Ir.upf
ATOMIC_POSITIONS crystal
Th 0.107 0.893 0.910
Th 0.393 0.607 0.410
Th 0.607 0.393 0.590
Th 0.893 0.107 0.090
Al 0.000 0.000 0.500
Al 0.022 0.478 0.750
Al 0.478 0.022 0.250
Al 0.500 0.500 0.000
Al 0.522 0.978 0.750
Al 0.978 0.522 0.250
Ir 0.178 0.822 0.532
Ir 0.183 0.317 0.750
Ir 0.317 0.183 0.250
Ir 0.322 0.678 0.032
Ir 0.678 0.322 0.968
Ir 0.683 0.817 0.750
Ir 0.817 0.683 0.250
Ir 0.822 0.178 0.468
CELL_PARAMETERS angstrom
2.887 -7.885 0.000
2.887 7.885 0.000
0.000 0.000 7.254
```